(1)
Material: CsNaSnS2
Method: DFT, PBE
State: optimized geometry

a = 15.183 Å, b = 4.643 Å, c = 9.776 Å
α = 90.00°, β = 93.57°, γ = 90.00°
Space group C2/m (No. 12)
One atom of each set of equivalent atoms:
Cs (0.154, 0.000, 0.172) x4
Na (0.195, 0.000, 0.565) x4
Sn (0.059, 0.500, 0.713) x4
S (0.125, 0.500, 0.479) x4
S (0.143, 0.000, 0.819) x4

The calculation puts the formation energy (no corrections) at -0.82 eV per atom.

(2)
Material: Cs2NaSn2S4
Method: DFT, PBE
State: optimized geometry

a = 14.500 Å, b = 5.235 Å, c = 7.555 Å
α = 90.00°, β = 102.29°, γ = 90.00°
Space group C2/m (No. 12)
One atom of each set of equivalent atoms:
Cs (0.134, 0.000, 0.071) x4
Na (0.000, 0.000, 0.500) x2
Sn (0.151, 0.500, 0.548) x4
S (0.020, 0.500, 0.272) x4
S (0.194, 0.000, 0.634) x4

The calculation puts the formation energy (no corrections) at -0.79 eV per atom. Its density of states at the Fermi level is 3.73 states/eV/cell.

> Look up the formation energy (no corrections) of the second one.

-0.79 eV per atom

> Which of these has the lowest formation energy (no corrections)?

CsNaSnS2

> Which value of formation energy (no corrections) does entry 2 give?

-0.79 eV per atom

> Which of these has the lowest formation energy (no corrections)?

CsNaSnS2